Record 1
Material: GdThCu2
Method: DFT, PBE
State: relaxed

Calculated values
D(E_F)   1.1141 states/eV per atom
ΔH_f (0 K)   -0.12 eV per atom
ΔE to the lowest computed polymorph   0.05 eV per formula unit
VASP energy   -30.18 eV/f.u.

Cell lengths 5.015, 5.015, 5.015 Å; angles 60.00, 60.00, 60.00 degrees
Last column: magnetic moment on the atom in μB.
Fractional coordinates of all 4 atoms:
Gd (0.500, 0.500, 0.500)  7.15
Th (0.000, 0.000, 0.000)  0.16
Cu (0.750, 0.750, 0.750)  0.03
Cu (0.250, 0.250, 0.250)  0.03



Record 2
Material: Gd2ThCu
Method: DFT, PBE
State: relaxed

Calculated values
D(E_F)   1.0225 states/eV per atom
ΔH_f (0 K)   0.40 eV per atom
ΔE to the lowest computed polymorph   1.94 eV per formula unit
VASP energy   -38.06 eV/f.u.

Cell lengths 3.509, 3.509, 11.304 Å; angles 81.07, 81.07, 60.00 degrees
Last column: magnetic moment on the atom in μB.
Fractional coordinates of all 4 atoms:
Gd (0.917, 0.917, 0.250)  -7.10
Gd (0.083, 0.083, 0.750)  -7.10
Th (0.500, 0.500, 0.500)  0.09
Cu (0.000, 0.000, 0.000)  -0.01



Record 3
Material: Gd2ThCu
Method: DFT, PBE
State: relaxed

Calculated values
D(E_F)   1.2856 states/eV per atom
ΔH_f (0 K)   -0.08 eV per atom
ΔE to the lowest computed polymorph   0.00 eV per formula unit
VASP energy   -40.00 eV/f.u.

Cell lengths 3.542, 3.542, 8.553 Å; angles 90.00, 90.00, 90.00 degrees
Last column: magnetic moment on the atom in μB.
Fractional coordinates of all 4 atoms:
Gd (0.000, 0.000, 0.797)  7.11
Gd (0.000, 0.000, 0.203)  7.11
Cu (0.500, 0.500, 0.000)  0.02
Th (0.500, 0.500, 0.500)  0.01



Copy entry 3 word for word.
Material: Gd2ThCu
Method: DFT, PBE
State: relaxed

Calculated values
D(E_F)   1.2856 states/eV per atom
ΔH_f (0 K)   -0.08 eV per atom
ΔE to the lowest computed polymorph   0.00 eV per formula unit
VASP energy   -40.00 eV/f.u.

Cell lengths 3.542, 3.542, 8.553 Å; angles 90.00, 90.00, 90.00 degrees
Last column: magnetic moment on the atom in μB.
Fractional coordinates of all 4 atoms:
Gd (0.000, 0.000, 0.797)  7.11
Gd (0.000, 0.000, 0.203)  7.11
Cu (0.500, 0.500, 0.000)  0.02
Th (0.500, 0.500, 0.500)  0.01



Question: Number 2 is which compound?
Answer: Gd2ThCu



Question: Look up the ΔE to the lowest computed polymorph of the third one.
Answer: 0.00 eV per formula unit



Repeat the first record exactly.
Material: GdThCu2
Method: DFT, PBE
State: relaxed

Calculated values
D(E_F)   1.1141 states/eV per atom
ΔH_f (0 K)   -0.12 eV per atom
ΔE to the lowest computed polymorph   0.05 eV per formula unit
VASP energy   -30.18 eV/f.u.

Cell lengths 5.015, 5.015, 5.015 Å; angles 60.00, 60.00, 60.00 degrees
Last column: magnetic moment on the atom in μB.
Fractional coordinates of all 4 atoms:
Gd (0.500, 0.500, 0.500)  7.15
Th (0.000, 0.000, 0.000)  0.16
Cu (0.750, 0.750, 0.750)  0.03
Cu (0.250, 0.250, 0.250)  0.03